Compound: TbTl2In
Source: the Alexandria database
Functional: PBE
Structure: relaxed

```
TbTl2In
1.0
4.9654 0.0000 0.0000
2.4827 4.3002 0.0000
2.4827 1.4334 5.2448
Tl Tb In
2 1 1
Cartesian
7.4481 4.3002 4.0066
2.4827 1.4334 1.2383
4.9654 2.8668 2.6224
0.0000 0.0000 0.0000
```

Calculated values
- space group = R-3m, No. 166
- ΔE to the lowest computed polymorph (eV per atom) = 0.185

Compound: Tb11Tl4In9
Source: the Alexandria database
Functional: PBE
Structure: relaxed

```
Tb11Tl4In9
1.0
-1.1273 -1.2050 -3.2385
-4.9441 -11.5176 6.0067
-9.5796 10.0620 -0.4095
Tb Tl In
11 4 9
Cartesian
-12.0848 2.7079 3.1991
-2.4390 -4.1635 2.3982
-10.4366 -4.9650 5.4804
-4.0872 3.5094 0.1169
-6.6846 -3.4151 3.5976
-7.8391 1.9595 1.9996
-5.8018 -7.5247 4.8195
-8.7219 6.0691 0.7777
0.0000 0.0000 0.0000
-11.1915 -1.1216 4.3131
-3.3323 -0.3340 1.2842
-10.6068 0.3267 1.5309
-5.0443 -2.9874 0.8279
-9.7926 -3.4633 2.6578
-5.8584 0.8026 -0.2990
-5.1518 -6.0013 1.9868
-10.4993 3.3406 0.3720
-7.2289 3.6684 -0.8883
-8.4221 -6.3290 3.2471
-13.9478 0.0709 2.7891
-1.7033 -2.7315 -0.4303
-13.1004 -3.8738 3.9620
-2.5506 1.2131 -1.6032
-7.8255 -1.3303 1.1794
```

Calculated values
- space group = Cmmm, No. 65

Compound: Tb6Tl2In
Source: the Alexandria database
Functional: PBE
Structure: relaxed

```
Tb6Tl2In
1.0
-3.9917 1.1798 -3.1267
-4.6704 -2.9775 4.8389
3.5958 7.8176 2.6916
Tb Tl In
6 2 1
Cartesian
-1.4090 1.5561 2.3872
-1.3177 5.9552 -0.4073
-3.6572 4.4637 2.0166
-3.1577 -0.1508 -0.3596
-3.7485 0.0647 4.8110
-5.5044 -1.6469 2.0717
-4.5750 1.4077 2.0399
-0.4912 4.6121 2.3639
0.0000 0.0000 0.0000
```

Calculated values
- space group = Immm, No. 71

Compound: Tb5Tl8In
Source: the Alexandria database
Functional: PBE
Structure: relaxed

```
Tb5Tl8In
1.0
-2.1936 5.1458 -5.8248
4.8804 -5.5706 -3.2202
-6.3899 -3.7532 3.2097
Tb Tl In
5 8 1
Cartesian
-1.1269 2.2903 -6.5247
0.5806 -1.2027 -6.8678
-2.4168 -1.7042 -4.4185
-4.2918 0.6963 -1.3076
-0.2468 1.1597 -2.8941
3.2915 -3.7393 -3.1452
-6.3798 1.6511 -3.5953
-3.0954 1.4557 -4.1246
-4.6972 -2.2800 -2.2674
0.6099 -1.8357 -3.6850
-2.5772 -4.9765 -3.8408
-1.7407 -1.2910 -1.0894
-0.2237 -5.6959 -1.5937
-2.9007 -4.3137 -0.6591
```

Calculated values
- space group = I-4, No. 82

Compound: TbTlIn2
Source: the Alexandria database
Functional: PBE
Structure: relaxed

```
TbTlIn2
1.0
5.6954 0.0000 3.1349
2.6481 5.6919 1.9300
0.1174 -0.7139 6.5278
Tb Tl In
2 2 4
Cartesian
1.9654 0.8652 3.1704
6.4955 4.1128 8.4223
4.8510 0.9613 4.6688
3.6098 4.0167 6.9238
2.0133 1.1605 6.4539
3.5999 3.8175 3.5713
6.4476 3.8175 5.1388
4.8609 1.1605 8.0213
```

Calculated values
- space group = Imma, No. 74

Compound: Tb5TlIn6
Source: the Alexandria database
Functional: PBE
Structure: relaxed

```
Tb5TlIn6
1.0
4.6206 0.0042 -1.4209
-0.9945 8.4224 -3.2094
0.1856 -1.5001 8.8160
Tl Tb In
1 5 6
Cartesian
0.0000 0.0000 0.0000
0.9213 6.1353 3.0052
2.5043 5.1515 -0.0671
-0.4973 4.2112 -1.6047
1.3073 1.7750 4.2528
2.8903 0.7912 1.1805
0.4333 3.1048 1.4139
-0.0488 7.1880 -0.1420
2.2301 0.7523 7.2480
1.5815 6.1742 -3.0623
3.8604 -0.2615 4.3277
3.3783 3.8217 2.7718
```

Calculated values
- space group = Immm, No. 71

Compound: TbTl2In
Source: the Alexandria database
Functional: PBE
Structure: relaxed

```
TbTl2In
1.0
-0.2845 -1.1933 3.7833
3.9087 -0.7322 0.0630
1.1895 6.5349 2.1507
Tl Tb In
2 1 1
Cartesian
0.8846 4.8598 1.5994
0.3049 1.6751 0.5513
1.8121 -0.9628 1.9232
2.4068 2.3047 2.9985
```

Calculated values
- space group = P4/mmm, No. 123
- ΔE to the lowest computed polymorph (eV per atom) = 0.160

Compound: Tb2TlIn4
Source: the Alexandria database
Functional: PBE
Structure: relaxed

```
Tb2TlIn4
1.0
5.5553 0.0106 -3.1851
-1.8531 5.2371 -3.1851
0.0786 0.1115 6.5775
Tl Tb In
1 2 4
Cartesian
2.9540 4.1872 -1.2462
0.1767 4.1807 0.3463
3.8793 1.5686 0.3463
2.9152 4.1321 -4.5350
1.0631 1.5069 -1.3514
3.8405 1.5126 -2.9428
0.1370 4.1254 -2.9428
```

Calculated values
- space group = C2/m, No. 12

Compound: Tb3TlIn
Source: the Alexandria database
Functional: PBE
Structure: relaxed

```
Tb3TlIn
1.0
4.9271 0.0000 1.1260
0.0000 5.0538 0.0000
-0.0259 0.0000 11.4567
Tb Tl In
6 2 2
Cartesian
3.7738 1.2634 2.1839
1.8607 1.2634 10.5553
2.8168 1.2634 6.3717
1.3078 3.7903 1.6314
4.3219 3.7903 11.1289
0.3518 3.7903 5.8150
2.3362 3.7903 8.4748
0.8324 1.2634 3.7119
3.2936 3.7903 4.2854
4.8022 1.2634 9.0273
```

Calculated values
- space group = Cmcm, No. 63
- ΔE to the lowest computed polymorph (eV per atom) = 0.000

Compound: TbTlIn2
Source: the Alexandria database
Functional: PBE
Structure: relaxed

```
TbTlIn2
1.0
-0.8166 -3.4145 -3.2005
2.2431 -3.0686 2.7015
-4.0090 -1.0468 2.1397
Tl Tb In
1 1 2
Cartesian
-1.2913 -3.7650 0.8204
-0.4083 -1.7073 -1.6002
-2.0045 -0.5234 1.0699
1.1216 -1.5343 1.3508
```

Calculated values
- space group = P4/mmm, No. 123

Compound: Tb5Tl3In
Source: the Alexandria database
Functional: PBE
Structure: relaxed

```
Tb5Tl3In
1.0
-3.2159 3.8980 -4.3801
1.9269 -6.0998 -6.8432
-7.8775 -0.8929 4.9892
Tb Tl In
10 6 2
Cartesian
-1.3412 -4.3641 -2.8991
-6.2174 -0.6795 -1.1450
-4.6094 -2.6285 1.0451
-2.9492 -2.4151 -5.0891
-6.6505 -2.0573 -4.6056
-2.7515 -3.4331 -8.6927
-1.8576 1.1686 -5.2538
-2.5160 -1.0374 -1.6285
-6.4151 0.3384 2.4587
0.5686 -3.3704 -5.9695
-4.6343 0.3122 -3.9773
-5.4207 -3.7356 -7.0021
-1.2047 -0.8982 -7.5725
-4.5322 -3.4069 -2.2568
-3.7458 0.6409 0.7681
-0.0843 -1.3036 -3.6507
0.0000 0.0000 0.0000
-1.6080 1.9490 -2.1900
```

Calculated values
- space group = P6_3/mcm, No. 193

Compound: Tb2TlIn
Source: the Alexandria database
Functional: PBE
Structure: relaxed

```
Tb2TlIn
1.0
-0.1501 -3.2332 1.9551
-0.0180 -1.9560 -3.2361
7.6232 -0.2779 0.1256
Tl Tb In
1 2 1
Cartesian
3.7276 -2.7335 -0.5777
5.7368 -0.2091 0.0946
1.8864 -0.0688 0.0311
-0.0840 -2.5946 -0.6405
```

Calculated values
- space group = P4/mmm, No. 123

Compound: Tb8Tl3In2
Source: the Alexandria database
Functional: PBE
Structure: relaxed

```
Tb8Tl3In2
1.0
-5.3734 -0.5747 -1.2176
-1.2043 -4.7739 7.5676
-1.0185 9.1078 0.1980
Tb Tl In
8 3 2
Cartesian
-1.1915 0.0536 5.2296
-6.4047 3.7057 1.3184
-5.7233 0.8775 -0.3573
-1.8729 2.8817 6.9052
-4.1790 3.8385 4.0333
-3.6699 5.8569 0.8337
-3.9263 -2.0976 5.7142
-3.4172 -0.0792 2.5147
-2.6867 -0.2873 -0.6088
-0.3843 -1.5234 2.4149
-1.8385 5.8573 5.3507
-3.4152 2.7381 1.1838
-4.1810 1.0212 5.3642
```

Calculated values
- space group = Cmmm, No. 65

Compound: Tb2Tl5In
Source: the Alexandria database
Functional: PBE
Structure: relaxed

```
Tb2Tl5In
1.0
-4.3006 -1.6758 1.0292
0.1859 -3.8619 -5.5108
5.5862 -9.9414 7.1553
Tb Tl In
4 10 2
Cartesian
-0.0064 -5.5489 1.8025
1.4779 -9.9301 0.8712
2.7853 -10.4914 5.4204
-1.3138 -4.9877 -2.7467
-1.4124 -3.0576 -0.0161
2.8839 -12.4214 2.6898
0.0933 -7.5027 -0.9619
1.3782 -7.9763 3.6357
4.3677 -11.2853 -0.1241
1.4044 -2.5180 1.7685
4.2885 -9.3788 2.6490
1.4836 -4.4244 -1.0045
2.8861 -6.9016 0.8222
0.0000 0.0000 0.0000
2.7931 -4.9707 3.5776
0.0930 -1.9310 -2.7554
```

Calculated values
- space group = Pbam, No. 55

Compound: Tb7Tl3In
Source: the Alexandria database
Functional: PBE
Structure: relaxed

```
Tb7Tl3In
1.0
5.8900 -0.1536 -0.1967
-2.9750 7.6290 0.4026
-2.9750 -1.4590 7.4990
Tb Tl In
7 3 1
Cartesian
0.0473 1.1005 1.4094
0.0246 -0.5275 4.4414
-0.0846 1.5796 7.1399
0.0246 4.4368 0.5650
-2.9750 3.0850 3.9508
-0.0846 6.5439 3.2634
-0.1073 4.9159 6.2955
-2.9750 5.5255 2.0451
2.9450 -0.0768 -0.0984
-2.9750 0.6445 5.8565
-0.0300 3.0082 3.8524
```

Calculated values
- space group = C2/m, No. 12

Compound: Tb4Tl2In
Source: the Alexandria database
Functional: PBE
Structure: relaxed

```
Tb4Tl2In
1.0
7.3134 0.0000 -0.6746
0.0000 6.6513 0.0000
-3.5078 0.0000 8.9524
Tb Tl In
8 4 2
Cartesian
3.2657 3.2962 1.6366
-2.7403 4.9885 7.5454
6.5459 1.6628 0.7324
3.2657 0.0295 1.6366
5.1695 1.6628 4.2282
0.5399 6.6218 6.6412
0.5399 3.3551 6.6412
-1.3640 4.9885 4.0496
5.4089 4.9885 0.0068
-1.6034 1.6628 8.2710
1.2584 1.6628 3.8288
2.5472 4.9885 4.4490
0.7382 4.9885 1.7714
3.0673 1.6628 6.5064
```

Calculated values
- space group = P2_1/m, No. 11
- ΔE to the lowest computed polymorph (eV per atom) = 0.089

Compound: Tb5Tl4In
Source: the Alexandria database
Functional: PBE
Structure: relaxed

```
Tb5Tl4In
1.0
-3.5112 1.3460 0.2466
-1.3251 -3.5139 0.3126
1.7526 1.0495 19.2247
Tb Tl In
5 4 1
Cartesian
-2.2464 -0.9811 2.1635
-1.8946 -0.7704 6.0230
-1.5418 -0.5592 9.8920
-1.1891 -0.3479 13.7610
-0.8373 -0.1372 17.6205
0.3480 0.2084 3.8178
0.6999 0.4191 7.6770
1.0527 0.6304 11.5477
1.4046 0.8411 15.4069
0.0000 0.0000 0.0000
```

Calculated values
- space group = P4/mmm, No. 123

Compound: Tb7TlIn5
Source: the Alexandria database
Functional: PBE
Structure: relaxed

```
Tb7TlIn5
1.0
6.5960 0.0000 0.0000
3.2980 7.5536 0.1209
3.2980 0.0965 7.5540
Tb Tl In
7 1 5
Cartesian
6.5960 2.8442 2.8534
6.5960 5.5137 5.5315
3.2980 2.4503 5.1071
3.2980 5.0992 2.4668
3.2980 1.7234 1.7290
6.5960 6.0956 1.3153
6.5960 1.2956 6.0998
6.5960 0.2034 0.2040
8.3174 7.5948 3.7712
11.4705 7.5948 3.7712
8.3174 3.7466 7.6069
11.4705 3.7466 7.6069
9.8940 5.6427 5.6610
```

Calculated values
- space group = Imm2, No. 44

Compound: Tb4Tl2In
Source: the Alexandria database
Functional: PBE
Structure: relaxed

```
Tb4Tl2In
1.0
-3.1743 0.3800 4.2033
1.6738 -1.6464 4.7303
2.6246 7.4815 4.6231
Tl Tb In
2 4 1
Cartesian
0.8194 4.6013 10.1550
0.3048 1.6137 3.4017
-0.3098 1.7451 9.5605
1.4340 4.4700 3.9962
-0.5710 0.2415 6.1817
1.6952 5.9736 7.3750
0.0000 0.0000 0.0000
```

Calculated values
- space group = R-3m, No. 166
- ΔE to the lowest computed polymorph (eV per atom) = 0.000

Compound: Tb6Tl3In
Source: the Alexandria database
Functional: PBE
Structure: relaxed

```
Tb6Tl3In
1.0
-1.9458 2.6991 1.6066
-9.6958 -6.6333 -0.5990
5.9364 -3.2128 12.5875
Tb Tl In
12 6 2
Cartesian
-2.3542 -3.5507 9.4874
-3.3510 -3.5963 4.1077
-9.0441 -4.0775 2.2699
3.3389 -3.0695 11.3252
-4.7208 -0.8504 2.0845
-0.9844 -6.2966 11.5106
-6.6498 -3.9066 4.8827
0.9445 -3.2404 8.7124
0.0660 -0.3164 6.9847
-5.7712 -6.8307 6.6104
-4.8737 -5.8257 10.2580
-0.8315 -1.3213 3.3371
-0.0151 -3.2646 11.8397
-5.6901 -3.8824 1.7554
-4.5891 -3.8584 7.2975
-1.1161 -3.2886 6.2976
-2.2246 1.1156 1.8048
-3.4807 -8.2626 11.7903
2.1505 -0.4627 9.7553
-7.8557 -6.6843 3.8398
```

Calculated values
- space group = P2_1/m, No. 11
- ΔE to the lowest computed polymorph (eV per atom) = 0.096

Compound: Tb8Tl2In
Source: the Alexandria database
Functional: PBE
Structure: relaxed

```
Tb8Tl2In
1.0
-2.3341 -1.1574 4.6750
-7.5198 -1.1777 -4.0460
6.3988 -5.6760 -1.2739
Tb Tl In
8 2 1
Cartesian
-3.5878 -2.2498 0.7152
2.9404 -4.0653 0.4616
0.0612 -1.9272 -0.4466
-4.7291 -1.6554 -2.7710
-3.5163 -6.0839 -0.1984
-6.3955 -3.9459 -1.1066
0.1327 -5.7613 -1.3601
1.2740 -6.3557 2.1260
-2.3294 -3.5209 -2.0347
-1.1257 -4.4902 1.3898
-1.1670 -0.5787 2.3375
```

Calculated values
- space group = C2/m, No. 12
- ΔE to the lowest computed polymorph (eV per atom) = 0.000

Number 1: energy of formation from the pure elements -115 meV per atom. Number 2: energy of formation from the pure elements -396 meV per atom. Number 3: energy of formation from the pure elements -60 meV per atom. Number 4: energy of formation from the pure elements -166 meV per atom. Number 5: energy of formation from the pure elements -311 meV per atom. Number 6: energy of formation from the pure elements -421 meV per atom. Number 7: energy of formation from the pure elements -140 meV per atom. Number 8: energy of formation from the pure elements -267 meV per atom. Number 9: energy of formation from the pure elements -328 meV per atom. Number 10: energy of formation from the pure elements -358 meV per atom. Number 11: energy of formation from the pure elements -366 meV per atom. Number 12: energy of formation from the pure elements -417 meV per atom. Number 13: energy of formation from the pure elements -133 meV per atom. Number 14: energy of formation from the pure elements -266 meV per atom. Number 15: energy of formation from the pure elements -112 meV per atom. Number 16: energy of formation from the pure elements -152 meV per atom. Number 17: energy of formation from the pure elements -379 meV per atom. Number 18: energy of formation from the pure elements -252 meV per atom. Number 19: energy of formation from the pure elements -240 meV per atom. Number 20: energy of formation from the pure elements -197 meV per atom. Number 21: energy of formation from the pure elements -218 meV per atom.